# 1
First-principles (PBE) data for crystalline K2Na4ZnSn2 at its relaxed geometry, as listed in Alexandria.

Formation enthalpy at 0 K in kJ/mol of atoms: -9.9
Energy relative to the lowest polymorph listed for this composition in eV per formula unit: 0.64

Cell: 13.442 7.848 5.820 Å, 90.00 99.79 90.00°
Space group C2/m (No. 12)
Symmetry-distinct sites (fractional):
K 0.135 0.000 0.209 x4
Na 0.133 0.290 0.702 x8
Zn 0.000 0.500 0.000 x2
Sn 0.182 0.500 0.236 x4

# 2
First-principles (PBE) data for crystalline RbSrGe2C at its relaxed geometry, as listed in Alexandria.

Formation enthalpy at 0 K in kJ/mol of atoms: 176.5

Cell: 5.786 5.786 4.811 Å, 90.00 90.00 90.00°
Space group P4/mmm (No. 123)
Symmetry-distinct sites (fractional):
Rb 0.000 0.000 0.000 x1
Sr 0.500 0.500 0.500 x1
Ge 0.000 0.500 0.000 x2
C 0.000 0.000 0.500 x1

# 3
First-principles (PBE) data for crystalline MnNbAlPt at its relaxed geometry, as listed in Alexandria.

Formation enthalpy at 0 K in kJ/mol of atoms: -36.9

Cell: 6.200 6.200 6.200 Å, 90.00 90.00 90.00°
Space group F-43m (No. 216)
Symmetry-distinct sites (fractional):
Mn 0.000 0.000 0.000 x4
Nb 0.250 0.250 0.750 x4
Al 0.250 0.250 0.250 x4
Pt 0.000 0.000 0.500 x4

# 4
First-principles (PBE) data for crystalline MnCd2Ag at its relaxed geometry, as listed in Alexandria.

Formation enthalpy at 0 K in kJ/mol of atoms: 12.1

Cell: 3.024 3.024 8.165 Å, 90.00 90.00 90.00°
Space group P4/mmm (No. 123)
Symmetry-distinct sites (fractional):
Mn 0.000 0.000 0.000 x1
Cd 0.500 0.500 0.242 x2
Ag 0.000 0.000 0.500 x1

# 5
First-principles (PBE) data for crystalline Ca2IrBr at its relaxed geometry, as listed in Alexandria.

Formation energy without anion corrections in eV/atom: -0.8726
Energy relative to the lowest polymorph listed for this composition in eV per formula unit: 0.00

Cell: 3.521 3.459 7.756 Å, 90.00 90.16 90.00°
Space group P2/m (No. 10)
Symmetry-distinct sites (fractional):
Ca 0.001 0.000 0.213 x2
Ir 0.500 0.500 0.000 x1
Br 0.500 0.500 0.500 x1

# 6
First-principles (PBE) data for crystalline Dy3TeO3 at its relaxed geometry, as listed in Alexandria.

Formation energy without anion corrections in eV/atom: -2.8732
Energy relative to the lowest polymorph listed for this composition in eV per formula unit: 0.00

Cell: 6.6781 6.6781 21.6068 Å, 90.00 90.00 120.00°
Space group R-3 (No. 148, hexagonal axes)
Symmetry-distinct sites (fractional):
Dy 0.0004 0.3275 0.1011 x18
Te 0.0000 0.0000 0.3334 x6
O 0.0008 0.3360 0.8736 x18

# 7
First-principles (PBE) data for crystalline Ca2HfZrP at its relaxed geometry, as listed in Alexandria.

Formation enthalpy at 0 K in kJ/mol of atoms: 12.1

Cell: 5.363 5.363 5.005 Å, 90.00 90.00 90.00°
Space group P4/mmm (No. 123)
Symmetry-distinct sites (fractional):
Ca 0.000 0.500 0.000 x2
Hf 0.000 0.000 0.500 x1
Zr 0.500 0.500 0.500 x1
P 0.000 0.000 0.000 x1

# 8
First-principles (PBE) data for crystalline NaMn2I8 at its relaxed geometry, as listed in Alexandria.

Formation energy without anion corrections in eV/atom: -0.3890

Cell: 14.297 10.523 7.387 Å, 90.00 106.62 90.00°
Space group C2/m (No. 12)
Symmetry-distinct sites (fractional):
Na 0.000 0.000 0.000 x2
Mn 0.198 0.000 0.696 x4
I 0.114 0.192 0.793 x8
I 0.125 0.500 0.100 x4
I 0.204 0.000 0.355 x4

> Number 1 is which compound?

K2Na4ZnSn2

Repeat the fifth record exactly.
First-principles (PBE) data for crystalline Ca2IrBr at its relaxed geometry, as listed in Alexandria.

Formation energy without anion corrections in eV/atom: -0.8726
Energy relative to the lowest polymorph listed for this composition in eV per formula unit: 0.00

Cell: 3.521 3.459 7.756 Å, 90.00 90.16 90.00°
Space group P2/m (No. 10)
Symmetry-distinct sites (fractional):
Ca 0.001 0.000 0.213 x2
Ir 0.500 0.500 0.000 x1
Br 0.500 0.500 0.500 x1